Entry from Alexandria via LeMat-Bulk: a relaxed structure of Tl2SbPb (PBEsol).

Computed properties:
The uncorrected energy comes out at -13.7 eV per formula unit. Its magnetization is 0.000 μB/atom. Its energy above the most stable polymorph in this dataset is 19 meV per atom. The space-group type is No. 8.

Unit cell a=5.850 b=5.850 c=6.228 alpha=96.24 beta=96.24 gamma=32.62
Fractional positions:
1 Tl 0.000 0.000 0.000
2 Tl 0.247 0.247 0.754
3 Sb 0.746 0.746 0.254
4 Pb 0.496 0.496 0.492